A geometry-optimized TbSmTe2 structure, computed with PBE.

Properties
energy above the lowest structure with this stoichiometry	138	meV per atom
formation energy without anion corrections	-1.232	eV/atom
total energy	-5.14	eV/atom

Lattice parameters (Å, degrees): 3.8148 3.8148 7.6318 90.00 90.00 90.00
Last column: nearest neighbours and their distance in Å.
Positions (direct):
Te1 0.0000 0.0000 0.7464  4 Tb 3.29, 4 Sm 3.32
Te2 0.0000 0.0000 0.2536  4 Tb 3.29, 4 Sm 3.32
Sm1 0.5000 0.5000 0.0000  8 Te 3.32
Tb1 0.5000 0.5000 0.5000  8 Te 3.29